1.
An optimized crystal structure of PmPr2Hg2Pb2, computed with PBE.

Properties
magnetic moment: 0.00 μB/cell
symmetry: R-3m, No. 166

a b c (Å): 9.7719 9.7719 9.7719
angles (deg): 30.41 30.41 30.41
Closest atoms and distances in Å follow each position.
Atoms (fractional coordinates):
Pm1 0.0000 0.0000 0.0000  6 Pb 3.38, 2 Pr 3.64
Pr1 0.1304 0.1304 0.1304  3 Hg 3.10
Pr2 0.8696 0.8696 0.8696  3 Hg 3.10
Hg1 0.4303 0.4303 0.4303  3 Pr 3.10, 3 Pb 3.15
Hg2 0.5697 0.5697 0.5697  3 Pr 3.10, 3 Pb 3.15
Pb1 0.2750 0.2750 0.2750  3 Hg 3.15, 3 Pm 3.38
Pb2 0.7250 0.7250 0.7250  3 Hg 3.15, 3 Pm 3.38

---

2.
An optimized crystal structure of PmPrHgPb, computed with PBE.

Properties
magnetic moment: 0.00 μB/cell
symmetry: F-43m, No. 216

a b c (Å): 5.4982 5.4982 5.4982
angles (deg): 60.00 60.00 60.00
Closest atoms and distances in Å follow each position.
Atoms (fractional coordinates):
Pm1 0.0000 0.0000 0.0000  4 Hg 3.37, 4 Pb 3.37
Pr1 0.5000 0.5000 0.5000  4 Pb 3.37, 4 Hg 3.37
Hg1 0.2500 0.2500 0.2500  4 Pr 3.37, 4 Pm 3.37
Pb1 0.7500 0.7500 0.7500  4 Pm 3.37, 4 Pr 3.37

---

| no. | calculated density (g/cm³) | energy of formation from the pure elements (eV per formula unit) |
| --- | --- | --- |
| 1 | 9.74 | -1.90 |
| 2 | 9.80 | -2.03 |